(1)
5
Lattice="-1.0515 3.7125 2.6285 -4.5397 -0.6860 -0.8471 -0.2874 -2.7466 3.7644" Properties=species:S:1:pos:R:3 comment="CoIrOs3 PBE relaxed" space_group="No. 221" formation_energy_ev_per_atom=2.774 pbc="T T T"
Os -0.5257 1.8563 1.3142
Os -0.1437 -1.3733 1.8822
Os -2.2699 -0.3430 -0.4235
Ir 0.0000 0.0000 0.0000
Co -2.9393 0.1400 2.7729

***

(2)
5
Lattice="5.1486 0.0000 0.0000 0.0000 5.1486 0.0000 -2.5743 -2.5743 5.7708" Properties=species:S:1:pos:R:3 comment="RbCdSn2Ge PBE relaxed" space_group="No. 119" formation_energy_ev_per_atom=-0.083 pbc="T T T"
Rb 0.0000 0.0000 0.0000
Sn 2.5743 2.5743 1.4724
Sn 0.0000 0.0000 4.2983
Cd 2.5743 0.0000 2.8854
Ge 0.0000 2.5743 2.8854

***

(3)
3
Lattice="3.7254 0.0000 0.0000 0.0000 3.7254 0.0000 -1.8627 -1.8627 6.1588" Properties=species:S:1:pos:R:3 comment="LiPrTm PBE relaxed" space_group="No. 107" e_above_lowest_polymorph_ev_per_atom=0.0000 formation_energy_ev_per_atom=0.083 pbc="T T T"
Tm 0.0000 0.0000 0.2138
Li 1.8627 1.8627 1.9762
Pr 0.0000 0.0000 3.9688

***

(4)
14
Lattice="-6.1911 -4.9711 -1.8435 -2.7542 -5.3860 5.7534 -7.4957 1.3910 3.4022" Properties=species:S:1:pos:R:3 comment="LiTmThSe4 PBE relaxed" space_group="No. 74" e_form_raw_mev_per_atom=-1688 pbc="T T T"
Li -6.4844 -6.3098 2.7513
Li -9.9566 -2.6564 4.5608
Se -12.2276 -6.8570 5.4947
Se -8.6505 -7.4447 3.8485
Se -5.4767 -4.8963 4.7936
Se -7.7905 -1.5215 3.4636
Se -7.2837 -4.6008 0.8272
Se -10.9643 -4.0699 2.5185
Se -4.2134 -2.1092 1.8174
Se -9.1573 -4.3654 6.4849
Tm -6.8434 -1.7901 0.7794
Tm -3.7479 0.6955 1.7011
Th 0.0000 0.0000 0.0000
Th -5.1250 -1.9975 4.5778